Here is an optimized crystal structure of LaMoIO2 from the Alexandria database. Energies are from GGA+U.

Total energy, eV per formula unit: -27.18
Fermi-level density of states, states/eV/cell: 3.6
Space-group type: P4/mmm

Structure (extended XYZ):
```
5
Lattice="4.442 0.000 0.000 0.000 4.442 0.000 0.000 0.000 6.868" Properties=species:S:1:pos:R:3 pbc="T T T"
La 0.000 0.000 0.000
Mo 2.221 2.221 3.434
I 0.000 0.000 3.434
O 0.000 2.221 0.000
O 2.221 0.000 0.000
```